Dy3InIr: optimized geometry, GGA-PBE.

a = 6.548 Å, b = 9.619 Å, c = 16.384 Å
α = 90.00°, β = 90.00°, γ = 90.00°
Space group Fmmm (No. 69)
One atom of each set of equivalent atoms:
Dy  0.000  0.000  0.202 x8
Dy  0.000  0.191  0.390 x16
In  0.210  0.000  0.000 x8
Ir  0.250  0.250  0.250 x8

Calculated values
- Calculated total energy: -0.416 Ry/atom
- Offset from the most stable computed form: 0.00 eV per formula unit

---

DyInIr: optimized geometry, GGA-PBE.

a = 7.5160 Å, b = 7.5160 Å, c = 3.9560 Å
α = 90.00°, β = 90.00°, γ = 120.00°
Space group P-62m (No. 189)
One atom of each set of equivalent atoms:
Dy  0.0000  0.4051  0.0000 x3
In  0.0000  0.7428  0.5000 x3
Ir  0.0000  0.0000  0.0000 x1
Ir  0.3333  0.6667  0.5000 x2

Calculated values
- Calculated total energy: -0.449 Ry/atom

---

DyInIr: optimized geometry, GGA-PBE.

a = 4.7014 Å, b = 4.7014 Å, c = 3.3561 Å
α = 90.00°, β = 90.00°, γ = 120.00°
Space group P-6m2 (No. 187)
One atom of each set of equivalent atoms:
Dy  0.0000  0.0000  0.0000 x1
In  0.3333  0.6667  0.5000 x1
Ir  0.6667  0.3333  0.5000 x1

Calculated values
- Calculated total energy: -0.432 Ry/atom

---

Dy5InIr4: optimized geometry, GGA-PBE.

a = 3.497 Å, b = 3.497 Å, c = 17.502 Å
α = 90.00°, β = 90.00°, γ = 90.00°
Space group P4/mmm (No. 123)
One atom of each set of equivalent atoms:
Dy  0.000  0.000  0.000 x1
Dy  0.000  0.000  0.190 x2
Dy  0.000  0.000  0.378 x2
In  0.500  0.500  0.500 x1
Ir  0.500  0.500  0.095 x2
Ir  0.500  0.500  0.288 x2

Calculated values
- Calculated total energy: -0.505 Ry/atom

---

Dy6In3Ir: optimized geometry, GGA-PBE.

a = 9.229 Å, b = 5.251 Å, c = 11.380 Å
α = 90.00°, β = 107.51°, γ = 90.00°
Space group P2_1/m (No. 11)
One atom of each set of equivalent atoms:
Dy  0.044  0.250  0.417 x2
Dy  0.189  0.750  0.167 x2
Dy  0.282  0.250  0.002 x2
Dy  0.352  0.750  0.828 x2
Dy  0.371  0.250  0.342 x2
Dy  0.400  0.250  0.645 x2
In  0.012  0.750  0.879 x2
In  0.097  0.250  0.718 x2
In  0.277  0.750  0.476 x2
Ir  0.458  0.750  0.095 x2

Calculated values
- Calculated total energy: -0.362 Ry/atom

---

DyInIr: optimized geometry, GGA-PBE.

a = 7.391 Å, b = 4.111 Å, c = 12.807 Å
α = 90.00°, β = 91.26°, γ = 90.00°
Space group P2_1/m (No. 11)
One atom of each set of equivalent atoms:
Dy  0.042  0.250  0.120 x2
Dy  0.155  0.250  0.419 x2
Dy  0.448  0.750  0.784 x2
In  0.115  0.250  0.705 x2
In  0.359  0.750  0.044 x2
In  0.494  0.750  0.413 x2
Ir  0.248  0.750  0.582 x2
Ir  0.249  0.250  0.912 x2
Ir  0.253  0.750  0.248 x2

Calculated values
- Calculated total energy: -0.447 Ry/atom

---

Dy4InIr2: optimized geometry, GGA-PBE.

a = 4.6318 Å, b = 4.6318 Å, c = 29.6778 Å
α = 90.00°, β = 90.00°, γ = 120.00°
Space group R-3m (No. 166, hexagonal axes)
One atom of each set of equivalent atoms:
Dy  0.0000  0.0000  0.1087 x6
Dy  0.0000  0.0000  0.2990 x6
In  0.0000  0.0000  0.5000 x3
Ir  0.0000  0.0000  0.4024 x6

Calculated values
- Calculated total energy: -0.453 Ry/atom

---

Dy8InIr2: optimized geometry, GGA-PBE.

a = 8.756 Å, b = 13.242 Å, c = 5.444 Å
α = 90.00°, β = 103.57°, γ = 90.00°
Space group C2/m (No. 12)
One atom of each set of equivalent atoms:
Dy  0.000  0.248  0.000 x4
Dy  0.113  0.500  0.801 x4
Dy  0.199  0.130  0.574 x8
In  0.000  0.000  0.000 x2
Ir  0.000  0.310  0.500 x4

Calculated values
- Calculated total energy: -0.414 Ry/atom

---

Dy8In2Ir3: optimized geometry, GGA-PBE.

a = 8.812 Å, b = 4.934 Å, c = 8.815 Å
α = 90.00°, β = 111.81°, γ = 90.00°
Space group P2/m (No. 10)
One atom of each set of equivalent atoms:
Dy  0.111  0.000  0.389 x2
Dy  0.141  0.500  0.866 x2
Dy  0.366  0.500  0.641 x2
Dy  0.386  0.000  0.114 x2
In  0.245  0.500  0.256 x2
Ir  0.247  0.000  0.747 x2
Ir  0.500  0.500  0.000 x1

Calculated values
- Calculated total energy: -0.427 Ry/atom

---

DyInIr: optimized geometry, GGA-PBE.

a = 6.615 Å, b = 6.615 Å, c = 6.615 Å
α = 90.00°, β = 90.00°, γ = 90.00°
Space group F-43m (No. 216)
One atom of each set of equivalent atoms:
Dy  0.000  0.000  0.000 x4
In  0.000  0.000  0.500 x4
Ir  0.250  0.250  0.250 x4

Calculated values
- Calculated total energy: -0.439 Ry/atom

---

Dy2InIr2: optimized geometry, GGA-PBE.

a = 10.211 Å, b = 5.474 Å, c = 8.198 Å
α = 90.00°, β = 107.47°, γ = 90.00°
Space group C2/c (No. 15)
One atom of each set of equivalent atoms:
Dy  0.145  0.160  0.148 x8
In  0.000  0.341  0.750 x4
Ir  0.141  0.346  0.512 x8

Calculated values
- Calculated total energy: -0.492 Ry/atom

---

Dy2InIr: optimized geometry, GGA-PBE.

a = 3.528 Å, b = 3.528 Å, c = 7.528 Å
α = 90.00°, β = 90.00°, γ = 90.00°
Space group P4/mmm (No. 123)
One atom of each set of equivalent atoms:
Dy  0.000  0.000  0.216 x2
In  0.500  0.500  0.500 x1
Ir  0.500  0.500  0.000 x1

Calculated values
- Calculated total energy: -0.432 Ry/atom
- Offset from the most stable computed form: 0.00 eV per formula unit

---

For reference, formation enthalpy at 0 K by record: -0.58, -0.70, -0.48, -0.75, -0.46, -0.68, -0.62, -0.43, -0.52, -0.57, -0.76, -0.67 eV/atom.